No. 1
RbSe2I2 (PBE-GGA, optimized geometry); DOS at the Fermi energy = 3.4 states/eV per cell; formation energy (no corrections) = -0.386 eV per atom
1.0
-3.189 3.189 4.977
3.189 -3.189 4.977
3.189 3.189 -4.977
Rb Se I
1 2 2
direct
0.000 0.000 0.000
0.390 0.390 0.000
0.610 0.610 0.000
0.250 0.750 0.500
0.750 0.250 0.500



No. 2
ZrAl2Mo (PBE-GGA, optimized geometry); DOS at the Fermi energy = 2.2 states/eV per cell; total DFT energy (no corrections) = -6.9382 eV/atom
1.0
2.839 -4.294 0.000
2.839 4.294 0.000
-0.366 0.000 2.815
Zr Al Mo
1 2 1
direct
0.000 0.000 0.000
0.000 0.500 0.500
0.500 0.000 0.500
0.500 0.500 0.000



No. 3
PmTlCuBr6 (PBE-GGA, optimized geometry); DOS at the Fermi energy = 12.8 states/eV per cell; formation energy (no corrections) = -1.073 eV per atom
1.0
7.165 0.000 0.000
-3.582 6.205 0.000
0.000 0.000 14.375
Pm Tl Cu Br
2 2 2 12
direct
0.333 0.667 0.250
0.667 0.333 0.750
0.000 0.000 0.000
0.000 0.000 0.500
0.333 0.667 0.750
0.667 0.333 0.250
0.027 0.383 0.641
0.027 0.644 0.859
0.356 0.383 0.859
0.356 0.973 0.641
0.383 0.027 0.141
0.383 0.356 0.359
0.617 0.644 0.641
0.617 0.973 0.859
0.644 0.027 0.359
0.644 0.617 0.141
0.973 0.356 0.141
0.973 0.617 0.359



No. 4
Ce2PmNd3As6 (PBE-GGA, optimized geometry); DOS at the Fermi energy = 11.2 states/eV per cell; total DFT energy (no corrections) = -6.3959 eV/atom
1.0
3.677 -6.368 0.000
3.677 6.368 0.000
-2.451 0.000 6.936
Ce Pm Nd As
2 1 3 6
direct
0.167 0.833 0.000
0.833 0.167 0.000
0.500 0.500 0.000
0.000 0.000 0.500
0.334 0.666 0.500
0.666 0.334 0.500
0.082 0.418 0.755
0.245 0.245 0.245
0.418 0.082 0.755
0.582 0.918 0.245
0.755 0.755 0.755
0.918 0.582 0.245



No. 5
AlZnPb (PBE-GGA, optimized geometry); DOS at the Fermi energy = 1.8 states/eV per cell; total DFT energy (no corrections) = -2.7071 eV/atom
1.0
4.447 0.000 0.000
-2.223 3.851 0.000
0.000 0.000 4.068
Al Zn Pb
1 1 1
direct
0.000 0.000 0.000
0.667 0.333 0.995
0.333 0.667 0.499



No. 6
TiSe2N (PBE-GGA, optimized geometry); DOS at the Fermi energy = 4.2 states/eV per cell; formation energy (no corrections) = 0.266 eV per atom
1.0
1.783 1.030 6.682
-1.783 1.030 6.682
0.000 -2.059 6.682
Ti Se N
1 2 1
direct
0.000 0.000 0.000
0.411 0.411 0.411
0.589 0.589 0.589
0.500 0.500 0.500



No. 7
Sm5YPt6 (PBE-GGA, optimized geometry); DOS at the Fermi energy = 7.6 states/eV per cell; total DFT energy (no corrections) = -6.6464 eV/atom
1.0
7.981 -3.519 0.000
7.981 3.519 0.000
-1.573 0.000 4.805
Sm Y Pt
5 1 6
direct
0.000 0.000 0.000
0.167 0.167 0.667
0.334 0.334 0.334
0.666 0.666 0.666
0.833 0.833 0.333
0.500 0.500 0.000
0.089 0.584 0.836
0.254 0.746 0.500
0.416 0.911 0.164
0.584 0.089 0.836
0.746 0.254 0.500
0.911 0.416 0.164



No. 8
InSn2HPb (PBE-GGA, optimized geometry); DOS at the Fermi energy = 3.0 states/eV per cell; total DFT energy (no corrections) = -3.3388 eV/atom
1.0
4.877 0.000 0.000
0.000 4.877 0.000
0.000 0.000 4.974
In Sn H Pb
1 2 1 1
direct
0.000 0.000 0.000
0.000 0.500 0.500
0.500 0.000 0.500
0.000 0.000 0.500
0.500 0.500 0.000



No. 9
AlAs3 (PBE-GGA, optimized geometry); DOS at the Fermi energy = 3.2 states/eV per cell; total DFT energy (no corrections) = -4.0517 eV/atom
1.0
2.991 0.000 0.000
-1.496 2.591 0.000
0.000 0.000 9.692
Al As
1 3
direct
0.000 0.000 0.000
0.000 0.000 0.500
0.667 0.333 0.230
0.667 0.333 0.770



No. 10
LiPmGePb (PBE-GGA, optimized geometry); DOS at the Fermi energy = 2.0 states/eV per cell; total DFT energy (no corrections) = -4.0622 eV/atom
1.0
0.000 3.664 3.664
3.664 0.000 3.664
3.664 3.664 0.000
Li Pm Ge Pb
1 1 1 1
direct
0.000 0.000 0.000
0.500 0.500 0.500
0.250 0.250 0.250
0.750 0.750 0.750



No. 11
Li2Ag2Au5 (PBE-GGA, optimized geometry); DOS at the Fermi energy = 3.1 states/eV per cell; total DFT energy (no corrections) = -3.1367 eV/atom
1.0
4.534 -2.093 0.000
4.534 2.093 0.000
-2.837 0.000 8.116
Li Ag Au
2 2 5
direct
0.164 0.164 0.058
0.836 0.836 0.942
0.165 0.165 0.385
0.835 0.835 0.615
0.174 0.174 0.740
0.492 0.492 0.157
0.500 0.500 0.500
0.508 0.508 0.843
0.826 0.826 0.260



No. 12
MnVSe3 (PBE-GGA, optimized geometry); DOS at the Fermi energy = 3.6 states/eV per cell; formation energy (no corrections) = -0.462 eV per atom
1.0
1.773 -11.292 0.000
1.773 11.292 0.000
0.000 0.000 6.005
Mn V Se
2 2 6
direct
0.153 0.847 0.500
0.847 0.153 0.000
0.380 0.620 0.650
0.620 0.380 0.150
0.056 0.944 0.264
0.286 0.714 0.837
0.383 0.617 0.256
0.617 0.383 0.756
0.714 0.286 0.337
0.944 0.056 0.764